[1]
This record from Alexandria describes a geometry-optimized YBe2Hg structure. The functional is PBE-GGA.

a = 4.4237 Å, b = 4.4249 Å, c = 3.6769 Å
α = 90.00°, β = 90.00°, γ = 90.00°
Last column: nearest neighbours and their distance in Å.
Element x y z (fractional)
Be (0.5000, 0.5000, 0.0000)  4 Y 2.88, 4 Hg 2.88, 4 Be 3.13
Be (0.0000, 0.0000, 0.0000)  4 Hg 2.88, 4 Y 2.88, 4 Be 3.13
Y (0.0000, 0.5000, 0.5000)  8 Be 2.88, 4 Hg 3.13
Hg (0.5000, 0.0000, 0.5000)  8 Be 2.88, 4 Y 3.13

Computed properties:
As for the space-group type: P4/mmm, No. 123. The formation energy is 0.26 eV per atom. The density is 7.10 g cm⁻³.


[2]
This record from Alexandria describes a geometry-optimized YBeHg structure. The functional is PBE-GGA.

a = 4.7735 Å, b = 4.7735 Å, c = 4.7735 Å
α = 60.00°, β = 60.00°, γ = 60.00°
Last column: nearest neighbours and their distance in Å.
Element x y z (fractional)
Hg (0.5000, 0.5000, 0.5000)  4 Y 2.92
Be (0.0000, 0.0000, 0.0000)  4 Y 2.92
Y (0.7500, 0.7500, 0.7500)  4 Hg 2.92, 4 Be 2.92

Computed properties:
As for the space-group type: F-43m, No. 216. The value obtained for the offset from the most stable computed form is 68.5 kJ per mole of atoms. The formation energy is 0.49 eV per atom. The density is 6.44 g cm⁻³.


[3]
This record from Alexandria describes a geometry-optimized YBeHg structure. The functional is PBE-GGA.

a = 5.9033 Å, b = 5.9031 Å, c = 3.3368 Å
α = 73.59°, β = 73.58°, γ = 32.83°
Last column: nearest neighbours and their distance in Å.
Element x y z (fractional)
Be (0.9807, 0.9807, 0.0193)  4 Hg 2.68
Y (0.6569, 0.6569, 0.3431)  4 Be 3.03, 5 Hg 3.19-3.24, 4 Y 3.34
Hg (0.3624, 0.3624, 0.6376)  4 Be 2.68

Computed properties:
As for the space-group type: I4mm, No. 107. The value obtained for the offset from the most stable computed form is 23.3 kJ per mole of atoms. The formation energy is 0.03 eV per atom. The density is 8.23 g cm⁻³.


[4]
This record from Alexandria describes a geometry-optimized Y2BeHg structure. The functional is PBE-GGA.

a = 8.6765 Å, b = 8.6765 Å, c = 8.6765 Å
α = 24.90°, β = 24.90°, γ = 24.90°
Last column: nearest neighbours and their distance in Å.
Element x y z (fractional)
Y (0.0099, 0.0099, 0.0099)  3 Be 2.84
Y (0.4901, 0.4901, 0.4901)  3 Be 2.84
Hg (0.2500, 0.2500, 0.2500)  6 Y 3.19
Be (0.7500, 0.7500, 0.7500)  6 Y 2.84

Computed properties:
As for the space-group type: R-3m, No. 166. The value obtained for the offset from the most stable computed form is 21.3 kJ per mole of atoms. The formation energy is 0.00 eV per atom. The density is 6.32 g cm⁻³.


Copy entry 4 word for word.
This record from Alexandria describes a geometry-optimized Y2BeHg structure. The functional is PBE-GGA.

a = 8.6765 Å, b = 8.6765 Å, c = 8.6765 Å
α = 24.90°, β = 24.90°, γ = 24.90°
Last column: nearest neighbours and their distance in Å.
Element x y z (fractional)
Y (0.0099, 0.0099, 0.0099)  3 Be 2.84
Y (0.4901, 0.4901, 0.4901)  3 Be 2.84
Hg (0.2500, 0.2500, 0.2500)  6 Y 3.19
Be (0.7500, 0.7500, 0.7500)  6 Y 2.84

Computed properties:
As for the space-group type: R-3m, No. 166. The value obtained for the offset from the most stable computed form is 21.3 kJ per mole of atoms. The formation energy is 0.00 eV per atom. The density is 6.32 g cm⁻³.